Computed, not measured: CaOs2RhO8 after structural relaxation at the PBE level of DFT.

a = 5.1547 Å, b = 5.1547 Å, c = 6.8334 Å
α = 112.16°, β = 112.16°, γ = 90.00°
With the nearest neighbours (Å) after each atom.
Atoms (fractional coordinates):
O  0.5787  0.6356  0.6426  1 Os 1.83
O  0.0639  0.0070  0.6426  1 Os 1.83
O  0.6668  0.2504  0.8407  1 Os 1.80
O  0.3644  0.9361  0.3574  1 Os 1.83
O  0.9930  0.4213  0.3574  1 Os 1.83
O  0.1739  0.5902  0.8407  1 Os 1.80
O  0.7496  0.8261  0.1593  1 Os 1.80
O  0.4098  0.3332  0.1593  1 Os 1.80
Os  0.5000  0.5000  0.0000  4 O 1.80
Os  0.2500  0.7500  0.5000  4 O 1.83
Ca  0.0000  0.0000  0.0000  8 O 2.33-2.60
Rh  0.7500  0.2500  0.5000  4 O 2.21

Output
crystal system = tetragonal
ρ = 7.043 Mg/m³
uncorrected formation energy = -1.060 eV per atom
calculated total energy = -7.016 eV/atom
magnetization = 0.004 μB/atom